First-principles (PBE-GGA) data for a relaxed VPd3 crystal, as listed in the Alexandria database.

It has space group Imm2 (No. 44), with a = 2.832 Å, b = 8.911 Å, c = 4.727 Å, α = 90.00°, β = 90.00° and γ = 90.00°. Symmetry generates all atoms from V at (0.000, 0.000, 0.000), Pd at (0.000, 0.262, 0.356) and Pd at (0.000, 0.500, 0.979).

The energy comes out at -6.3190 eV per atom. The calculation puts the theoretical density at 10.31 g cm⁻³.

First-principles (PBE-GGA) data for a relaxed Zr2MnIr crystal, as listed in the Alexandria database.

It has space group I-42d (No. 122), with a = 4.116 Å, b = 4.116 Å, c = 18.696 Å, α = 90.00°, β = 90.00° and γ = 90.00°. Symmetry generates all atoms from Zr at (0.247, 0.250, 0.125), Mn at (0.000, 0.000, 0.500) and Ir at (0.000, 0.000, 0.000).

The energy comes out at -8.4421 eV per atom. The calculation puts the theoretical density at 9.01 g cm⁻³.

First-principles (PBE-GGA) data for a relaxed PmDyZnPt crystal, as listed in the Alexandria database.

It has space group Amm2 (No. 38), with a = 4.470 Å, b = 3.890 Å, c = 10.880 Å, α = 90.00°, β = 90.00° and γ = 90.00°. Symmetry generates all atoms from Pm at (0.000, 0.000, 0.000), Dy at (0.500, 0.000, 0.719), Zn at (0.500, 0.000, 0.432) and Pt at (0.000, 0.000, 0.283).

The energy comes out at -4.9445 eV per atom. The calculation puts the theoretical density at 9.97 g cm⁻³. The distance to the lowest polymorph of the same formula comes out at 0 meV/atom.

First-principles (PBE-GGA) data for a relaxed K2BiOsO6 crystal, as listed in the Alexandria database.

It has space group Fm-3m (No. 225), with a = 8.499 Å, b = 8.499 Å, c = 8.499 Å, α = 90.00°, β = 90.00° and γ = 90.00°. Symmetry generates all atoms from K at (0.250, 0.250, 0.250), Bi at (0.000, 0.000, 0.000), Os at (0.000, 0.000, 0.500) and O at (0.000, 0.000, 0.276).

The energy comes out at -5.9873 eV per atom. The calculation puts the theoretical density at 6.20 g cm⁻³.

First-principles (PBE-GGA) data for a relaxed MgReRh crystal, as listed in the Alexandria database.

It has space group Pnma (No. 62), with a = 5.166 Å, b = 4.290 Å, c = 8.333 Å, α = 90.00°, β = 90.00° and γ = 90.00°. Symmetry generates all atoms from Mg at (0.140, 0.250, 0.076), Re at (0.084, 0.250, 0.729) and Rh at (0.136, 0.250, 0.409).

The energy comes out at -7.0516 eV per atom. The calculation puts the theoretical density at 11.27 g cm⁻³. The distance to the lowest polymorph of the same formula comes out at 225 meV/atom.